Density functional theory data (GGA-PBE) for an optimized crystal structure of ScOsRu.

Output
Energy relative to the lowest polymorph listed for this composition, meV per atom: 520
VASP energy, eV per cell: -26.29
Symmetry: Fmm2 (42)
DFT formation energy, eV/atom: 0.1827
Magnetization, Bohr magnetons per cell: 0.24

Cell and atoms, written as CIF:
```
data_ScOsRu
_symmetry_space_group_name_H-M 'P 1'
_symmetry_Int_Tables_number 1
_cell_length_a 6.939
_cell_length_b 6.733
_cell_length_c 2.786
_cell_angle_alpha 82.43
_cell_angle_beta 74.12
_cell_angle_gamma 23.45
loop_
_symmetry_equiv_pos_as_xyz
'x,y,z'
loop_
_atom_site_label
_atom_site_fract_x
_atom_site_fract_y
_atom_site_fract_z
Sc1 0.000 0.000 0.000
Os1 0.330 0.330 0.670
Ru1 0.668 0.668 0.332
```